# 1
The following is a PBE-GGA calculation of a relaxed CsLiPmTe2 crystal, from Alexandria.

Cell lengths 7.0817, 6.8626, 9.0205 Å; angles 112.36, 90.00, 90.00 degrees
Last column: nearest neighbours and their distance in Å.
Positions (direct):
1 Li 0.0000 0.0000 0.0000  2 Te 2.65
2 Li 0.0000 0.5000 0.0000  2 Te 2.65
3 Te 0.2550 0.1160 0.2321  1 Li 2.65
4 Te 0.2550 0.3840 0.7679  1 Li 2.65
5 Te 0.7450 0.8840 0.7679  1 Li 2.65
6 Te 0.7450 0.6160 0.2321  1 Li 2.65
7 Pm 0.5000 0.7500 0.0000  4 Te 3.11, 2 Pm 3.43
8 Pm 0.5000 0.2500 0.0000  4 Te 3.11, 2 Pm 3.43
9 Cs 0.2398 0.7500 0.5000  8 Te 4.10-4.22, 2 Li 4.50
10 Cs 0.7602 0.2500 0.5000  8 Te 4.10-4.22, 2 Li 4.50

Computed properties:
As for the total magnetization: 0.0729 μB/atom. As for the uncorrected energy: -3.75 eV/atom. The crystal system is orthorhombic. Its space group is Cmme.

***

# 2
The following is a PBE-GGA calculation of a relaxed AgSn2BrN crystal, from Alexandria.

Cell lengths 5.1831, 4.2481, 5.1831 Å; angles 90.00, 90.00, 90.00 degrees
Last column: nearest neighbours and their distance in Å.
Positions (direct):
1 Sn 0.0000 0.0000 0.5000  2 N 2.59
2 Sn 0.5000 0.0000 0.0000  2 N 2.59
3 N 0.0000 0.0000 0.0000  2 Ag 2.12
4 Ag 0.0000 0.5000 0.0000  2 N 2.12
5 Br 0.5000 0.5000 0.5000  8 Sn 3.35, 4 Ag 3.67

Computed properties:
As for the total magnetization: 0.0000 μB/atom. As for the uncorrected energy: -3.78 eV/atom. The crystal system is tetragonal. Its space group is P4/mmm.

***

# 3
The following is a PBE-GGA calculation of a relaxed V2CdTcI crystal, from Alexandria.

Cell lengths 4.8062, 4.8062, 5.3153 Å; angles 90.00, 90.00, 90.00 degrees
Last column: nearest neighbours and their distance in Å.
Positions (direct):
1 Cd 0.0000 0.0000 0.0000  4 V 2.40, 2 I 2.66
2 V 0.5000 0.0000 0.0000  2 Cd 2.40
3 V 0.0000 0.5000 0.0000  2 Cd 2.40
4 Tc 0.5000 0.5000 0.5000  4 I 3.40, 8 V 3.58
5 I 0.0000 0.0000 0.5000  2 Cd 2.66

Computed properties:
As for the total magnetization: 0.0109 μB/atom. As for the uncorrected energy: -3.60 eV/atom. The crystal system is tetragonal. Its space group is P4/mmm.

***

# 4
The following is a PBE-GGA calculation of a relaxed AgTeAsSe crystal, from Alexandria.

Cell lengths 4.7955, 4.7955, 6.8547 Å; angles 89.92, 109.49, 121.68 degrees
Last column: nearest neighbours and their distance in Å.
Positions (direct):
1 Ag 0.1816 0.9737 0.1553  3 Se 2.79-2.81, 1 Te 2.84
2 Se 0.4573 0.6161 0.0734  1 As 2.39
3 Te 0.4808 0.1252 0.6060  3 As 2.79-2.82, 1 Ag 2.84
4 As 0.2094 0.4857 0.6951  1 Se 2.39

Computed properties:
As for the total magnetization: 0.0000 μB/atom. As for the uncorrected energy: -3.53 eV/atom. The crystal system is monoclinic. Its space group is Cm.

***

# 5
The following is a PBE-GGA calculation of a relaxed ScTlInAg crystal, from Alexandria.

Cell lengths 5.0146, 5.0146, 5.0146 Å; angles 60.00, 60.00, 60.00 degrees
Last column: nearest neighbours and their distance in Å.
Positions (direct):
1 Tl 0.5000 0.5000 0.5000  4 Sc 3.07, 4 Ag 3.07
2 Ag 0.2500 0.2500 0.2500  4 Tl 3.07, 4 In 3.07
3 Sc 0.7500 0.7500 0.7500  4 Tl 3.07, 4 In 3.07
4 In 0.0000 0.0000 0.0000  4 Ag 3.07, 4 Sc 3.07

Computed properties:
As for the total magnetization: 0.0000 μB/atom. As for the uncorrected energy: -3.69 eV/atom. The crystal system is cubic. Its space group is F-43m.

***

# 6
The following is a PBE-GGA calculation of a relaxed PrIrRu crystal, from Alexandria.

Cell lengths 5.2785, 5.4799, 5.4799 Å; angles 60.69, 61.21, 61.21 degrees
Last column: nearest neighbours and their distance in Å.
Positions (direct):
1 Pr 0.8763 0.3737 0.3737  6 Ir 3.13-3.26, 6 Ru 3.22, 4 Pr 3.30-3.38
2 Pr 0.1237 0.6263 0.6263  6 Ir 3.13-3.26, 6 Ru 3.22, 4 Pr 3.30-3.38
3 Ir 0.5000 0.5000 0.0000  4 Ru 2.74, 2 Ir 2.77
4 Ir 0.5000 0.0000 0.5000  4 Ru 2.74, 2 Ir 2.77
5 Ru 0.0000 0.0000 0.0000  2 Ru 2.64, 4 Ir 2.74
6 Ru 0.5000 0.0000 0.0000  2 Ru 2.64, 4 Ir 2.74

Computed properties:
As for the total magnetization: 0.0000 μB/atom. As for the uncorrected energy: -8.03 eV/atom. The crystal system is orthorhombic. Its space group is Imma.

***

# 7
The following is a PBE-GGA calculation of a relaxed ErTh2Mo crystal, from Alexandria.

Cell lengths 3.5980, 3.5980, 8.4089 Å; angles 90.00, 90.00, 90.00 degrees
Last column: nearest neighbours and their distance in Å.
Positions (direct):
1 Mo 0.5000 0.5000 0.0000  8 Th 3.10
2 Th 0.0000 0.0000 0.2110  4 Mo 3.10
3 Th 0.0000 0.0000 0.7890  4 Mo 3.10
4 Er 0.5000 0.5000 0.5000  8 Th 3.52, 4 Er 3.60

Computed properties:
As for the total magnetization: 0.0001 μB/atom. As for the uncorrected energy: -7.40 eV/atom. The crystal system is tetragonal. Its space group is P4/mmm.

***

# 8
The following is a PBE-GGA calculation of a relaxed KAl2Cl crystal, from Alexandria.

Cell lengths 6.5644, 6.5644, 3.2551 Å; angles 90.00, 90.00, 128.72 degrees
Last column: nearest neighbours and their distance in Å.
Positions (direct):
1 K 0.0000 0.5000 0.5000  2 Cl 2.84
2 Cl 0.5000 0.0000 0.5000  2 K 2.84
3 Al 0.0000 0.0000 0.0000  2 Al 2.84
4 Al 0.5000 0.5000 0.0000  2 Al 2.84

Computed properties:
As for the total magnetization: 0.0000 μB/atom. As for the uncorrected energy: -2.65 eV/atom. The crystal system is orthorhombic. Its space group is Cmmm.

***

> Which value of uncorrected energy does entry 7 give?

-7.40 eV/atom

***

> Which formula does entry 4 have?

AgTeAsSe

***

> Number 1 is which compound?

CsLiPmTe2